No. 1
A plane-wave DFT calculation with PBE was carried out for a relaxed La2Mg crystal.

Results
The value obtained for the formation energy is -0.024 eV/atom. Its distance to the lowest polymorph of the same formula is 43 meV/atom. As for the final energy: -3.84 eV per atom. Its symmetry is Immm (71).

```
La2Mg
1.0
3.606 0.000 0.000
0.000 4.846 0.000
-1.803 -2.423 5.425
La Mg
2 1
Direct
0.670 0.670 0.340
0.330 0.330 0.660
0.000 0.000 0.000
```

No. 2
A plane-wave DFT calculation with PBE was carried out for a relaxed La6Mg23 crystal.

Results
The value obtained for the formation energy is -0.097 eV/atom. As for the final energy: -2.38 eV per atom. Its symmetry is Fm-3m (225).

```
La6Mg23
1.0
-5.635 -8.434 1.833
-1.033 -3.515 9.635
-9.066 0.810 4.838
La Mg
6 23
Direct
0.206 0.794 0.794
0.794 0.206 0.206
0.206 0.206 0.794
0.794 0.794 0.206
0.206 0.794 0.206
0.794 0.206 0.794
0.500 0.500 0.500
0.500 0.000 0.000
0.000 0.500 0.500
0.500 0.500 0.000
0.000 0.000 0.500
0.500 0.000 0.500
0.000 0.500 0.000
0.136 0.621 0.621
0.621 0.621 0.136
0.621 0.136 0.621
0.621 0.621 0.621
0.379 0.379 0.864
0.864 0.379 0.379
0.379 0.864 0.379
0.379 0.379 0.379
0.515 0.828 0.828
0.828 0.828 0.515
0.828 0.515 0.828
0.828 0.828 0.828
0.172 0.172 0.485
0.485 0.172 0.172
0.172 0.485 0.172
0.172 0.172 0.172
```

No. 3
A plane-wave DFT calculation with PBE was carried out for a relaxed La2Mg crystal.

Results
The value obtained for the formation energy is -0.009 eV/atom. Its distance to the lowest polymorph of the same formula is 58 meV/atom. As for the final energy: -3.83 eV per atom. Its symmetry is Cm (8).

```
La2Mg
1.0
-1.989 -0.002 6.491
-3.977 -2.644 4.825
4.528 -5.994 4.100
La Mg
4 2
Direct
0.984 0.984 0.011
0.343 0.343 0.371
0.646 0.646 0.681
0.632 0.632 0.249
0.943 0.943 0.619
0.286 0.286 0.901
```

No. 4
A plane-wave DFT calculation with PBE was carried out for a relaxed LaMg8 crystal.

Results
The value obtained for the formation energy is -0.043 eV/atom. As for the final energy: -2.01 eV per atom. Its symmetry is I4/mmm (139).

```
LaMg8
1.0
-5.002 -2.139 -4.776
4.365 -2.639 5.137
-4.562 3.394 4.481
La Mg
1 8
Direct
0.000 0.000 0.000
0.326 0.674 0.000
0.674 0.326 0.000
0.000 0.342 0.342
0.674 0.674 0.348
0.342 0.000 0.342
0.326 0.326 0.652
0.000 0.658 0.658
0.658 0.000 0.658
```

No. 5
A plane-wave DFT calculation with PBE was carried out for a relaxed LaMg5 crystal.

Results
The value obtained for the formation energy is 0.001 eV/atom. As for the final energy: -2.15 eV per atom. Its symmetry is Amm2 (38).

```
LaMg5
1.0
2.437 7.946 -4.013
-4.805 -6.055 5.044
2.886 1.279 4.285
La Mg
1 5
Direct
0.003 0.997 0.000
0.329 0.671 0.000
0.677 0.323 0.000
0.427 0.573 0.500
0.776 0.224 0.500
0.122 0.878 0.500
```

No. 6
A plane-wave DFT calculation with PBE was carried out for a relaxed LaMg3 crystal.

Results
The value obtained for the formation energy is 0.037 eV/atom. As for the final energy: -2.39 eV per atom. Its symmetry is R-3m (166).

```
LaMg3
1.0
-3.310 3.249 4.486
-3.384 -3.479 -4.253
5.861 -2.163 1.616
La Mg
1 3
Direct
0.000 0.000 0.000
0.000 0.500 0.500
0.500 0.000 0.500
0.500 0.500 0.000
```

No. 7
A plane-wave DFT calculation with PBE was carried out for a relaxed La2Mg crystal.

Results
The value obtained for the formation energy is 0.396 eV/atom. Its distance to the lowest polymorph of the same formula is 463 meV/atom. As for the final energy: -3.42 eV per atom. Its symmetry is Pa-3 (205).

```
La2Mg
1.0
7.666 0.000 0.000
0.000 7.666 0.000
0.000 0.000 7.666
Mg La
4 8
Direct
0.000 0.000 0.000
0.500 0.500 0.000
0.500 0.000 0.500
0.000 0.500 0.500
0.630 0.630 0.370
0.370 0.370 0.630
0.130 0.870 0.630
0.870 0.130 0.370
0.370 0.130 0.130
0.630 0.870 0.870
0.870 0.370 0.870
0.130 0.630 0.130
```

No. 8
A plane-wave DFT calculation with PBE was carried out for a relaxed La3Mg2 crystal.

Results
The value obtained for the formation energy is 0.032 eV/atom. Its distance to the lowest polymorph of the same formula is 111 meV/atom. As for the final energy: -3.56 eV per atom. Its symmetry is R-3m (166).

```
La3Mg2
1.0
-8.864 5.794 -9.879
-9.952 2.348 -10.257
-11.436 4.451 -7.692
La Mg
3 2
Direct
0.000 0.000 0.000
0.798 0.798 0.798
0.202 0.202 0.202
0.399 0.399 0.399
0.601 0.601 0.601
```

No. 9
A plane-wave DFT calculation with PBE was carried out for a relaxed LaMg3 crystal.

Results
The value obtained for the formation energy is -0.097 eV/atom. As for the final energy: -2.52 eV per atom. Its symmetry is P6_3/mmc (194).

```
LaMg3
1.0
-0.537 -3.101 -4.220
4.118 -4.739 2.959
-2.740 -4.967 3.999
Mg La
6 2
Direct
0.250 0.840 0.321
0.250 0.840 0.840
0.250 0.321 0.840
0.750 0.160 0.679
0.750 0.160 0.160
0.750 0.679 0.160
0.750 0.667 0.667
0.250 0.333 0.333
```

No. 10
A plane-wave DFT calculation with PBE was carried out for a relaxed LaMg crystal.

Results
The value obtained for the formation energy is 0.034 eV/atom. Its distance to the lowest polymorph of the same formula is 147 meV/atom. As for the final energy: -3.23 eV per atom. Its symmetry is Pmmn (59).

```
LaMg
1.0
-3.075 1.012 1.005
-1.775 -5.284 -0.108
1.744 -0.710 6.053
La Mg
2 2
Direct
0.000 0.000 0.999
0.500 0.500 0.834
0.500 0.000 0.503
0.000 0.500 0.330
```

No. 11
A plane-wave DFT calculation with PBE was carried out for a relaxed La2Mg7 crystal.

Results
The value obtained for the formation energy is -0.083 eV/atom. As for the final energy: -2.42 eV per atom. Its symmetry is R-3m (166).

```
La2Mg7
1.0
-4.383 -4.254 0.118
1.461 -5.907 -0.542
0.424 -4.412 14.794
La Mg
4 14
Direct
0.052 0.052 0.844
0.948 0.948 0.156
0.153 0.153 0.541
0.847 0.847 0.459
0.500 0.500 0.500
0.278 0.278 0.165
0.722 0.722 0.835
0.389 0.389 0.833
0.611 0.611 0.167
0.500 0.000 0.000
0.000 0.500 0.000
0.500 0.500 0.000
0.611 0.611 0.668
0.611 0.109 0.668
0.109 0.611 0.668
0.389 0.389 0.332
0.389 0.891 0.332
0.891 0.389 0.332
```

No. 12
A plane-wave DFT calculation with PBE was carried out for a relaxed LaMg crystal.

Results
The value obtained for the formation energy is 0.963 eV/atom. Its distance to the lowest polymorph of the same formula is 1076 meV/atom. As for the final energy: -2.30 eV per atom. Its symmetry is I-43m (217).

```
LaMg
1.0
-3.885 -7.420 4.785
8.775 -2.672 2.982
-0.968 5.554 7.826
La Mg
8 8
Direct
0.298 0.298 0.298
0.298 0.702 0.702
0.702 0.298 0.702
0.702 0.702 0.298
0.798 0.798 0.798
0.798 0.202 0.202
0.202 0.798 0.202
0.202 0.202 0.798
0.110 0.110 0.110
0.110 0.890 0.890
0.890 0.110 0.890
0.890 0.890 0.110
0.610 0.610 0.610
0.610 0.390 0.390
0.390 0.610 0.390
0.390 0.390 0.610
```

No. 13
A plane-wave DFT calculation with PBE was carried out for a relaxed LaMg7 crystal.

Results
The value obtained for the formation energy is 0.056 eV/atom. Its distance to the lowest polymorph of the same formula is 47 meV/atom. As for the final energy: -1.96 eV per atom. Its symmetry is Fm-3m (225).

```
LaMg7
1.0
-0.213 -2.911 6.001
-5.200 1.067 4.044
-4.372 -4.902 1.177
La Mg
1 7
Direct
0.000 0.000 0.000
0.500 0.500 0.000
0.500 0.000 0.500
0.500 0.000 0.000
0.000 0.000 0.500
0.000 0.500 0.000
0.000 0.500 0.500
0.500 0.500 0.500
```

No. 14
A plane-wave DFT calculation with PBE was carried out for a relaxed La3Mg2 crystal.

Results
The value obtained for the formation energy is -0.079 eV/atom. Its distance to the lowest polymorph of the same formula is 0 meV/atom. As for the final energy: -3.67 eV per atom. Its symmetry is I4/mmm (139).

```
La3Mg2
1.0
3.947 0.000 0.000
0.000 3.947 0.000
-1.974 -1.974 10.401
La Mg
3 2
Direct
0.000 0.000 0.000
0.190 0.190 0.380
0.810 0.810 0.620
0.405 0.405 0.809
0.595 0.595 0.191
```

No. 15
A plane-wave DFT calculation with PBE was carried out for a relaxed LaMg crystal.

Results
The value obtained for the formation energy is 0.016 eV/atom. Its distance to the lowest polymorph of the same formula is 129 meV/atom. As for the final energy: -3.24 eV per atom. Its symmetry is P2_12_12_1 (19).

```
LaMg
1.0
-6.886 -2.869 -3.934
-1.661 -3.266 5.289
-4.716 7.228 2.983
La Mg
8 8
Direct
0.795 0.606 0.058
0.295 0.894 0.942
0.205 0.106 0.442
0.705 0.394 0.558
0.056 0.238 0.776
0.556 0.262 0.224
0.944 0.738 0.724
0.444 0.762 0.276
0.196 0.414 0.092
0.696 0.086 0.908
0.804 0.914 0.408
0.304 0.586 0.592
0.549 0.911 0.636
0.049 0.589 0.364
0.451 0.411 0.864
0.951 0.089 0.136
```

No. 16
A plane-wave DFT calculation with PBE was carried out for a relaxed LaMg15 crystal.

Results
The value obtained for the formation energy is 0.007 eV/atom. As for the final energy: -1.80 eV per atom. Its symmetry is P-6m2 (187).

```
LaMg15
1.0
3.294 -5.706 0.000
3.294 5.706 0.000
0.000 0.000 10.381
La Mg
1 15
Direct
0.000 0.000 0.500
0.000 0.000 0.000
0.015 0.508 0.500
0.996 0.498 0.000
0.492 0.508 0.500
0.502 0.498 0.000
0.492 0.985 0.500
0.502 0.004 0.000
0.168 0.337 0.244
0.168 0.337 0.756
0.168 0.832 0.244
0.168 0.832 0.756
0.663 0.832 0.244
0.663 0.832 0.756
0.667 0.333 0.263
0.667 0.333 0.737
```

No. 17
A plane-wave DFT calculation with PBE was carried out for a relaxed LaMg3 crystal.

Results
The value obtained for the formation energy is -0.061 eV/atom. As for the final energy: -2.49 eV per atom. Its symmetry is P6_3/mmc (194).

```
LaMg3
1.0
6.870 0.000 0.000
-3.435 5.949 0.000
0.000 0.000 10.881
La Mg
4 12
Direct
0.000 0.000 0.000
0.000 0.000 0.500
0.333 0.667 0.250
0.667 0.333 0.750
0.500 0.000 0.000
0.500 0.000 0.500
0.000 0.500 0.000
0.500 0.500 0.000
0.500 0.500 0.500
0.000 0.500 0.500
0.827 0.654 0.250
0.173 0.346 0.750
0.346 0.173 0.250
0.827 0.173 0.250
0.173 0.827 0.750
0.654 0.827 0.750
```

No. 18
A plane-wave DFT calculation with PBE was carried out for a relaxed LaMg3 crystal.

Results
The value obtained for the formation energy is -0.086 eV/atom. As for the final energy: -2.51 eV per atom. Its symmetry is I4/mmm (139).

```
LaMg3
1.0
9.077 -0.021 0.000
6.209 6.621 0.000
-7.643 -3.300 3.618
La Mg
2 6
Direct
0.365 0.365 0.000
0.635 0.635 0.000
0.000 0.500 0.500
0.500 0.000 0.500
0.250 0.750 0.500
0.750 0.250 0.500
0.133 0.133 0.000
0.867 0.867 0.000
```

No. 19
A plane-wave DFT calculation with PBE was carried out for a relaxed La2Mg crystal.

Results
The value obtained for the formation energy is 0.010 eV/atom. Its distance to the lowest polymorph of the same formula is 77 meV/atom. As for the final energy: -3.81 eV per atom. Its symmetry is Fd-3m (227).

```
La2Mg
1.0
10.481 0.000 0.000
5.241 9.077 0.000
5.241 3.026 8.558
La Mg
16 8
Direct
0.000 0.500 0.000
0.500 0.000 0.000
0.500 0.500 0.000
0.500 0.500 0.500
0.939 0.939 0.811
0.939 0.311 0.811
0.311 0.939 0.811
0.939 0.311 0.439
0.311 0.939 0.439
0.311 0.311 0.439
0.061 0.061 0.189
0.061 0.689 0.189
0.689 0.061 0.189
0.061 0.689 0.561
0.689 0.061 0.561
0.689 0.689 0.561
0.711 0.711 0.868
0.711 0.711 0.211
0.711 0.368 0.211
0.368 0.711 0.211
0.289 0.289 0.132
0.289 0.289 0.789
0.289 0.632 0.789
0.632 0.289 0.789
```

No. 20
A plane-wave DFT calculation with PBE was carried out for a relaxed La2Mg crystal.

Results
The value obtained for the formation energy is -0.006 eV/atom. Its distance to the lowest polymorph of the same formula is 60 meV/atom. As for the final energy: -3.82 eV per atom. Its symmetry is R32 (155).

```
La2Mg
1.0
-1.173 -1.217 6.645
-0.235 -6.164 2.994
4.533 -2.471 4.512
La Mg
4 2
Direct
0.000 0.686 0.314
0.686 0.314 0.000
0.500 0.500 0.500
0.314 0.000 0.686
0.831 0.831 0.831
0.169 0.169 0.169
```